[1]
{
  "formula": "PmAgAu2",
  "functional": "meta-GGA SCAN",
  "state": "PBEsol geometry",
  "final_energy_ev_per_cell": -216.49,
  "e_form_ev_per_fu": -2.820,
  "magnetic_moment_mub_per_cell": 0.00,
  "lattice_angstrom": [[0.0000, 3.4411, 3.4411], [3.4411, 0.0000, 3.4411], [3.4411, 3.4411, 0.0000]],
  "species": ["Pm", "Ag", "Au", "Au"],
  "fractional_positions": [[0.0000, 0.0000, 0.0000], [0.5000, 0.5000, 0.5000], [0.2500, 0.2500, 0.2500], [0.7500, 0.7500, 0.7500]]
}

[2]
{
  "formula": "AgPtAu2",
  "functional": "meta-GGA SCAN",
  "state": "PBEsol geometry",
  "final_energy_ev_per_cell": -239.90,
  "e_form_ev_per_fu": -0.021,
  "e_above_lowest_polymorph_mev_per_atom": 9,
  "magnetic_moment_mub_per_cell": 0.00,
  "lattice_angstrom": [[2.8175, 0.0000, 0.0000], [0.0000, 4.7445, 0.0000], [0.0000, 0.0000, 4.8621]],
  "species": ["Ag", "Pt", "Au", "Au"],
  "fractional_positions": [[0.0000, 0.0000, 0.0000], [0.0000, 0.5000, 0.6546], [0.5000, 0.0000, 0.5061], [0.5000, 0.5000, 0.1560]]
}

[3]
{
  "formula": "AgPtAu2",
  "functional": "meta-GGA SCAN",
  "state": "PBEsol geometry",
  "final_energy_ev_per_cell": -239.83,
  "e_form_ev_per_fu": 0.041,
  "e_above_lowest_polymorph_mev_per_atom": 24,
  "magnetic_moment_mub_per_cell": 0.00,
  "lattice_angstrom": [[4.6775, -1.4167, 0.0000], [4.6775, 1.4167, 0.0000], [-0.8498, 0.0000, 4.9051]],
  "species": ["Ag", "Pt", "Au", "Au"],
  "fractional_positions": [[0.0000, 0.0000, 0.0000], [0.5000, 0.5000, 0.5000], [0.2469, 0.2469, 0.7475], [0.7531, 0.7531, 0.2525]]
}

[4]
{
  "formula": "AgPtAu2",
  "functional": "meta-GGA SCAN",
  "state": "PBEsol geometry",
  "final_energy_ev_per_cell": -239.86,
  "e_form_ev_per_fu": 0.018,
  "e_above_lowest_polymorph_mev_per_atom": 19,
  "magnetic_moment_mub_per_cell": 0.00,
  "lattice_angstrom": [[1.4170, -2.3973, 0.0000], [1.4170, 2.3973, 0.0000], [0.0000, 0.0000, 9.6388]],
  "species": ["Ag", "Pt", "Au", "Au"],
  "fractional_positions": [[0.0000, 0.0000, 0.0000], [0.5000, 0.5000, 0.2444], [0.0000, 0.0000, 0.4932], [0.5000, 0.5000, 0.7493]]
}

[5]
{
  "formula": "AgPtAu2",
  "functional": "meta-GGA SCAN",
  "state": "PBEsol geometry",
  "final_energy_ev_per_cell": -239.84,
  "e_form_ev_per_fu": 0.033,
  "e_above_lowest_polymorph_mev_per_atom": 22,
  "magnetic_moment_mub_per_cell": 0.00,
  "lattice_angstrom": [[2.8097, 0.0000, 0.0000], [0.0000, 4.0648, 0.0000], [0.0000, 0.0000, 5.6853]],
  "species": ["Ag", "Pt", "Au", "Au"],
  "fractional_positions": [[0.0000, 0.0000, 0.0000], [0.5000, 0.5000, 0.7525], [0.0000, 0.0000, 0.5084], [0.5000, 0.5000, 0.2498]]
}

[6]
{
  "formula": "AgPtAu2",
  "functional": "meta-GGA SCAN",
  "state": "PBEsol geometry",
  "final_energy_ev_per_cell": -239.87,
  "e_form_ev_per_fu": 0.008,
  "e_above_lowest_polymorph_mev_per_atom": 16,
  "magnetic_moment_mub_per_cell": 0.00,
  "lattice_angstrom": [[2.8015, 0.0000, 0.0000], [0.0000, 4.0452, 0.0000], [0.0000, 0.0000, 5.7264]],
  "species": ["Ag", "Pt", "Au", "Au"],
  "fractional_positions": [[0.0000, 0.0000, 0.0000], [0.0000, 0.0000, 0.5000], [0.5000, 0.5000, 0.2528], [0.5000, 0.5000, 0.7472]]
}

[7]
{
  "formula": "AgPtAu",
  "functional": "meta-GGA SCAN",
  "state": "PBEsol geometry",
  "final_energy_ev_per_cell": -170.79,
  "e_form_ev_per_fu": -0.073,
  "e_above_lowest_polymorph_mev_per_atom": 0,
  "magnetic_moment_mub_per_cell": 0.00,
  "lattice_angstrom": [[2.7981, 0.0000, 0.0000], [-1.3991, 2.4232, 0.0000], [0.0000, 0.0000, 7.0663]],
  "species": ["Ag", "Pt", "Au"],
  "fractional_positions": [[0.0000, 0.0000, 0.0000], [0.6667, 0.3333, 0.3281], [0.3333, 0.6667, 0.6643]]
}

[8]
{
  "formula": "AgPtAu2",
  "functional": "meta-GGA SCAN",
  "state": "PBEsol geometry",
  "final_energy_ev_per_cell": -239.82,
  "e_form_ev_per_fu": 0.050,
  "e_above_lowest_polymorph_mev_per_atom": 26,
  "magnetic_moment_mub_per_cell": 0.00,
  "lattice_angstrom": [[-1.4204, 2.3948, 4.8147], [1.4204, -2.3948, 4.8147], [1.4204, 2.3948, -4.8147]],
  "species": ["Ag", "Pt", "Au", "Au"],
  "fractional_positions": [[0.0000, 0.0000, 0.0000], [0.7511, 0.2511, 0.5000], [0.2536, 0.7536, 0.5000], [0.5056, 0.5056, 0.0000]]
}

[9]
{
  "formula": "AgPtAu2",
  "functional": "meta-GGA SCAN",
  "state": "PBEsol geometry",
  "final_energy_ev_per_cell": -239.91,
  "e_form_ev_per_fu": -0.035,
  "e_above_lowest_polymorph_mev_per_atom": 5,
  "magnetic_moment_mub_per_cell": 0.00,
  "lattice_angstrom": [[4.7396, -1.4237, 0.0000], [4.7396, 1.4237, 0.0000], [-0.8744, 0.0000, 4.8074]],
  "species": ["Ag", "Pt", "Au", "Au"],
  "fractional_positions": [[0.0000, 0.0000, 0.0000], [0.7484, 0.7484, 0.2522], [0.2474, 0.2474, 0.7524], [0.4951, 0.4951, 0.4939]]
}

[10]
{
  "formula": "AgPtAu2",
  "functional": "meta-GGA SCAN",
  "state": "PBEsol geometry",
  "final_energy_ev_per_cell": -239.83,
  "e_form_ev_per_fu": 0.049,
  "e_above_lowest_polymorph_mev_per_atom": 26,
  "magnetic_moment_mub_per_cell": 0.00,
  "lattice_angstrom": [[-2.0508, 2.0508, 3.8617], [2.0508, -2.0508, 3.8617], [2.0508, 2.0508, -3.8617]],
  "species": ["Ag", "Pt", "Au", "Au"],
  "fractional_positions": [[0.0000, 0.0000, 0.0000], [0.5000, 0.5000, 0.0000], [0.2500, 0.7500, 0.5000], [0.7500, 0.2500, 0.5000]]
}

[11]
{
  "formula": "AgPtAu",
  "functional": "meta-GGA SCAN",
  "state": "PBEsol geometry",
  "final_energy_ev_per_cell": -170.69,
  "e_form_ev_per_fu": 0.026,
  "e_above_lowest_polymorph_mev_per_atom": 33,
  "magnetic_moment_mub_per_cell": 0.00,
  "lattice_angstrom": [[-1.4017, 1.4017, 6.1085], [1.4017, -1.4017, 6.1085], [1.4017, 1.4017, -6.1085]],
  "species": ["Ag", "Pt", "Au"],
  "fractional_positions": [[0.0000, 0.0000, 0.0000], [0.3361, 0.3361, 0.0000], [0.6709, 0.6709, 0.0000]]
}

[12]
{
  "formula": "AgPtAu2",
  "functional": "meta-GGA SCAN",
  "state": "PBEsol geometry",
  "final_energy_ev_per_cell": -239.90,
  "e_form_ev_per_fu": -0.025,
  "e_above_lowest_polymorph_mev_per_atom": 8,
  "magnetic_moment_mub_per_cell": 0.00,
  "lattice_angstrom": [[1.4092, 0.8136, 9.4243], [-1.4092, 0.8136, 9.4243], [0.0000, -1.6272, 9.4243]],
  "species": ["Ag", "Pt", "Au", "Au"],
  "fractional_positions": [[0.0000, 0.0000, 0.0000], [0.5000, 0.5000, 0.5000], [0.2496, 0.2496, 0.2496], [0.7504, 0.7504, 0.7504]]
}